# Pm2GeI (PBE-GGA, relaxed)
data_Pm2GeI
_symmetry_space_group_name_H-M 'P 1'
_symmetry_Int_Tables_number 1
_symmetry_space_group_name_Hall 'P 1'
_cell_length_a 8.1804
_cell_length_b 8.1804
_cell_length_c 8.1804
_cell_angle_alpha 30.37
_cell_angle_beta 30.37
_cell_angle_gamma 30.37
loop_
_atom_site_label
_atom_site_type_symbol
_atom_site_fract_x
_atom_site_fract_y
_atom_site_fract_z
Pm1 Pm 0.0000 0.0000 0.0000
Pm2 Pm 0.2010 0.2010 0.2010
Ge1 Ge 0.5992 0.5992 0.5992
I1 I 0.7686 0.7686 0.7686
# - formation energy without anion corrections (kJ/mol of formula units) = -388
# - calculated total energy (eV per atom) = -4.9214
# - energy above the lowest structure with this stoichiometry (eV/atom) = 0.019
# - M_tot (μB per cell) = 0.00

# Pm2GeI (PBE-GGA, relaxed)
data_Pm2GeI
_symmetry_space_group_name_H-M 'P 1'
_symmetry_Int_Tables_number 1
_symmetry_space_group_name_Hall 'P 1'
_cell_length_a 5.3698
_cell_length_b 5.3698
_cell_length_c 5.3698
_cell_angle_alpha 60.00
_cell_angle_beta 60.00
_cell_angle_gamma 60.00
loop_
_atom_site_label
_atom_site_type_symbol
_atom_site_fract_x
_atom_site_fract_y
_atom_site_fract_z
Pm1 Pm 0.2500 0.2500 0.2500
Pm2 Pm 0.7500 0.7500 0.7500
Ge1 Ge 0.0000 0.0000 0.0000
I1 I 0.5000 0.5000 0.5000
# - formation energy without anion corrections (kJ/mol of formula units) = -267
# - calculated total energy (eV per atom) = -4.6098
# - energy above the lowest structure with this stoichiometry (eV/atom) = 0.331
# - M_tot (μB per cell) = 0.00

# Pm4GeI3 (PBE-GGA, relaxed)
data_Pm4GeI3
_symmetry_space_group_name_H-M 'P 1'
_symmetry_Int_Tables_number 1
_symmetry_space_group_name_Hall 'P 1'
_cell_length_a 8.7051
_cell_length_b 8.1784
_cell_length_c 8.3750
_cell_angle_alpha 90.00
_cell_angle_beta 90.00
_cell_angle_gamma 90.00
loop_
_atom_site_label
_atom_site_type_symbol
_atom_site_fract_x
_atom_site_fract_y
_atom_site_fract_z
Pm1 Pm 0.0000 0.1619 0.0000
Pm2 Pm 0.0000 0.7594 0.4671
Pm3 Pm 0.2461 0.6010 0.1123
Pm4 Pm 0.2539 0.3990 0.6123
Pm5 Pm 0.5000 0.2406 0.9671
Pm6 Pm 0.5000 0.8381 0.5000
Pm7 Pm 0.7461 0.3990 0.6123
Pm8 Pm 0.7539 0.6010 0.1123
Ge1 Ge 0.0000 0.8318 0.1329
Ge2 Ge 0.5000 0.1682 0.6329
I1 I 0.0000 0.1256 0.6260
I2 I 0.2466 0.2479 0.2552
I3 I 0.2534 0.7521 0.7552
I4 I 0.5000 0.8744 0.1260
I5 I 0.7466 0.7521 0.7552
I6 I 0.7534 0.2479 0.2552
# - formation energy without anion corrections (kJ/mol of formula units) = -438
# - calculated total energy (eV per atom) = -4.1008
# - M_tot (μB per cell) = 2.04

> Which formula does entry 2 have?

Pm2GeI

> Look up the formation energy without anion corrections of the third one.

-438 kJ/mol of formula units